Record 1
VASP calculation (GGA-PBE) on a relaxed NaZn2CrB crystal.

```
data_NaZn2CrB
_space_group_name_H-M_alt 'P 4/m m m'
_space_group_IT_number 123
_space_group_name_Hall '-P 4 2'
_cell_length_a 4.905
_cell_length_b 4.905
_cell_length_c 5.111
_cell_angle_alpha 90.00
_cell_angle_beta 90.00
_cell_angle_gamma 90.00
loop_
_atom_site_label
_atom_site_type_symbol
_atom_site_fract_x
_atom_site_fract_y
_atom_site_fract_z
Na1 Na 0.000 0.000 0.000
Zn1 Zn 0.000 0.500 0.000
Cr1 Cr 0.000 0.000 0.500
B1 B 0.500 0.500 0.500
```

Formation enthalpy at 0 K: 9.93 eV/f.u.

Record 2
VASP calculation (GGA-PBE) on a relaxed NbCr2B4 crystal.

```
data_NbCr2B4
_space_group_name_H-M_alt 'I m m m'
_space_group_IT_number 71
_space_group_name_Hall '-I 2 2'
_cell_length_a 3.016
_cell_length_b 3.113
_cell_length_c 13.226
_cell_angle_alpha 90.00
_cell_angle_beta 90.00
_cell_angle_gamma 90.00
loop_
_atom_site_label
_atom_site_type_symbol
_atom_site_fract_x
_atom_site_fract_y
_atom_site_fract_z
Nb1 Nb 0.000 0.000 0.000
Cr1 Cr 0.000 0.500 0.313
B1 B 0.000 0.000 0.428
B2 B 0.000 0.500 0.145
```

Formation enthalpy at 0 K: -3.92 eV/f.u.

Record 3
VASP calculation (GGA-PBE) on a relaxed NbCrB2 crystal.

```
data_NbCrB2
_space_group_name_H-M_alt 'I -4 2 d'
_space_group_IT_number 122
_space_group_name_Hall 'I -4 2bw'
_cell_length_a 4.596
_cell_length_b 4.596
_cell_length_c 10.278
_cell_angle_alpha 90.00
_cell_angle_beta 90.00
_cell_angle_gamma 90.00
loop_
_atom_site_label
_atom_site_type_symbol
_atom_site_fract_x
_atom_site_fract_y
_atom_site_fract_z
Nb1 Nb 0.000 0.000 0.000
Cr1 Cr 0.000 0.000 0.500
B1 B 0.204 0.250 0.625
```

Formation enthalpy at 0 K: 3.05 eV/f.u.
Energy above the most stable polymorph in this dataset: 1230.2 meV per atom

Record 4
VASP calculation (GGA-PBE) on a relaxed Nb3CrB7 crystal.

```
data_Nb3CrB7
_space_group_name_H-M_alt 'C m c m'
_space_group_IT_number 63
_space_group_name_Hall '-C 2c 2'
_cell_length_a 3.199
_cell_length_b 14.418
_cell_length_c 8.906
_cell_angle_alpha 90.00
_cell_angle_beta 90.00
_cell_angle_gamma 90.00
loop_
_atom_site_label
_atom_site_type_symbol
_atom_site_fract_x
_atom_site_fract_y
_atom_site_fract_z
Nb1 Nb 0.000 0.107 0.053
Nb2 Nb 0.000 0.248 0.750
Cr1 Cr 0.000 0.048 0.750
B1 B 0.000 0.273 0.033
B2 B 0.000 0.367 0.151
B3 B 0.000 0.435 0.750
B4 B 0.000 0.485 0.093
```

Formation enthalpy at 0 K: -7.32 eV/f.u.

Record 5
VASP calculation (GGA-PBE) on a relaxed NbCrB2 crystal.

```
data_NbCrB2
_space_group_name_H-M_alt 'F m -3 m'
_space_group_IT_number 225
_space_group_name_Hall '-F 4 2 3'
_cell_length_a 5.482
_cell_length_b 5.482
_cell_length_c 5.482
_cell_angle_alpha 90.00
_cell_angle_beta 90.00
_cell_angle_gamma 90.00
loop_
_atom_site_label
_atom_site_type_symbol
_atom_site_fract_x
_atom_site_fract_y
_atom_site_fract_z
Nb1 Nb 0.000 0.000 0.000
Cr1 Cr 0.000 0.000 0.500
B1 B 0.250 0.250 0.250
```

Formation enthalpy at 0 K: 0.84 eV/f.u.
Energy above the most stable polymorph in this dataset: 676.5 meV per atom

Record 6
VASP calculation (GGA-PBE) on a relaxed NbCrB2 crystal.

```
data_NbCrB2
_space_group_name_H-M_alt 'P n m a'
_space_group_IT_number 62
_space_group_name_Hall '-P 2ac 2n'
_cell_length_a 5.546
_cell_length_b 3.103
_cell_length_c 9.591
_cell_angle_alpha 90.00
_cell_angle_beta 90.00
_cell_angle_gamma 90.00
loop_
_atom_site_label
_atom_site_type_symbol
_atom_site_fract_x
_atom_site_fract_y
_atom_site_fract_z
Nb1 Nb 0.119 0.250 0.149
Cr1 Cr 0.133 0.250 0.445
B1 B 0.035 0.250 0.673
B2 B 0.212 0.250 0.822
```

Formation enthalpy at 0 K: -1.87 eV/f.u.
Energy above the most stable polymorph in this dataset: 0.0 meV per atom

Record 7
VASP calculation (GGA-PBE) on a relaxed NbCr2B2 crystal.

```
data_NbCr2B2
_space_group_name_H-M_alt 'C m c 21'
_space_group_IT_number 36
_space_group_name_Hall 'C 2c -2'
_cell_length_a 3.085
_cell_length_b 10.171
_cell_length_c 6.715
_cell_angle_alpha 90.00
_cell_angle_beta 90.00
_cell_angle_gamma 90.00
loop_
_atom_site_label
_atom_site_type_symbol
_atom_site_fract_x
_atom_site_fract_y
_atom_site_fract_z
Nb1 Nb 0.000 0.084 0.000
Cr1 Cr 0.000 0.195 0.600
Cr2 Cr 0.000 0.372 0.858
B1 B 0.000 0.275 0.310
B2 B 0.000 0.439 0.200
```

Formation enthalpy at 0 K: -1.92 eV/f.u.
Energy above the most stable polymorph in this dataset: 0.0 meV per atom

Record 8
VASP calculation (GGA-PBE) on a relaxed NbCrB2 crystal.

```
data_NbCrB2
_space_group_name_H-M_alt 'R -3 m'
_space_group_IT_number 166
_space_group_name_Hall '-R 3 2"'
_cell_length_a 3.1270
_cell_length_b 3.1270
_cell_length_c 15.1017
_cell_angle_alpha 90.00
_cell_angle_beta 90.00
_cell_angle_gamma 120.00
loop_
_atom_site_label
_atom_site_type_symbol
_atom_site_fract_x
_atom_site_fract_y
_atom_site_fract_z
Nb1 Nb 0.0000 0.0000 0.0000
Cr1 Cr 0.0000 0.0000 0.5000
B1 B 0.0000 0.0000 0.2404
```

Formation enthalpy at 0 K: -1.16 eV/f.u.
Energy above the most stable polymorph in this dataset: 176.9 meV per atom

no.,E_tot (eV/atom)
1,-2.0479
2,-8.5632
3,-7.4986
4,-8.5363
5,-8.0523
6,-8.7288
7,-8.9190
8,-8.5519